# LiTlN2 PBE optimized geometry
# - Size of the total moment: 6.000 μB/cell
# - Final energy: -49.4 eV per cell
# - ΔE_f (raw): 1117 meV/atom
data_LiTlN2
_cell_length_a 3.5377
_cell_length_b 3.5377
_cell_length_c 18.1586
_cell_angle_alpha 90.00
_cell_angle_beta 90.00
_cell_angle_gamma 120.00
_symmetry_space_group_name_H-M 'R -3 m'
_symmetry_Int_Tables_number 166
_symmetry_space_group_name_Hall '-R 3 2"'
loop_
_atom_site_label
_atom_site_type_symbol
_atom_site_fract_x
_atom_site_fract_y
_atom_site_fract_z
_atom_site_occupancy
Li1 Li 0.0000 0.0000 0.0000 1
Tl1 Tl 0.0000 0.0000 0.5000 1
N1 N 0.0000 0.0000 0.1045 1